(1)
A plane-wave DFT calculation with PBE was carried out for crystalline NdAuBr at its relaxed geometry.

```
NdAuBr
1.0
8.146 0.000 0.000
0.000 4.714 0.000
-0.315 0.000 10.223
Nd Au Br
4 4 4
Cartesian
0.006 0.000 1.716
3.752 2.357 8.506
4.079 2.357 1.716
7.825 0.000 8.506
1.045 2.357 10.182
2.714 0.000 0.041
5.118 0.000 10.182
6.787 2.357 0.041
1.360 2.357 3.352
2.398 0.000 6.871
5.433 0.000 3.352
6.471 2.357 6.871
```

**Symmetry**: C2/m
**DFT total energy**: -4.413 eV per atom
**ρ**: 7.1 Mg/m³
**Energy relative to the elements, uncorrected**: -1174 meV/atom



(2)
A plane-wave DFT calculation with PBE was carried out for crystalline Nb2IrI at its relaxed geometry.

```
Nb2IrI
1.0
6.638 0.000 0.000
0.000 6.638 0.000
0.000 0.000 6.638
Nb Ir I
8 4 4
Cartesian
1.659 1.659 1.659
1.659 1.659 4.978
1.659 4.978 1.659
1.659 4.978 4.978
4.978 1.659 1.659
4.978 1.659 4.978
4.978 4.978 1.659
4.978 4.978 4.978
0.000 0.000 0.000
0.000 3.319 3.319
3.319 0.000 3.319
3.319 3.319 0.000
0.000 0.000 3.319
0.000 3.319 0.000
3.319 0.000 0.000
3.319 3.319 3.319
```

**Symmetry**: Fm-3m
**DFT total energy**: -7.270 eV per atom
**ρ**: 11.5 Mg/m³
**E above lowest polymorph**: 0.0 meV per atom
**Energy relative to the elements, uncorrected**: 367 meV/atom



(3)
A plane-wave DFT calculation with PBE was carried out for crystalline La6Tb8Er at its relaxed geometry.

```
La6Tb8Er
1.0
4.589 2.649 7.067
-4.589 2.649 7.067
0.000 -5.299 7.067
La Tb Er
6 8 1
Cartesian
-2.562 -2.220 9.634
-3.204 1.109 11.568
0.641 -3.329 11.568
-0.641 3.329 9.634
3.204 -1.109 9.634
2.562 2.220 11.568
0.000 0.000 1.634
-1.857 0.800 7.654
0.235 -2.008 7.654
-1.622 -1.208 13.547
1.622 1.208 7.654
-0.235 2.008 13.547
1.857 -0.800 13.547
0.000 0.000 19.568
0.000 0.000 10.601
```

**Symmetry**: R-3
**DFT total energy**: -4.634 eV per atom
**Calculated formation energy**: 1.65 eV per formula unit
**ρ**: 7.3 Mg/m³



(4)
A plane-wave DFT calculation with PBE was carried out for crystalline AcCuTe at its relaxed geometry.

```
AcCuTe
1.0
4.142 0.000 0.000
0.000 4.142 0.000
0.000 0.000 10.102
Ac Cu Te
2 2 2
Cartesian
0.000 0.000 0.000
2.071 2.071 5.051
0.000 0.000 3.402
2.071 2.071 8.453
0.000 0.000 6.813
2.071 2.071 1.762
```

**Symmetry**: I4mm
**DFT total energy**: -4.343 eV per atom
**ρ**: 8.0 Mg/m³
**E above lowest polymorph**: 196.6 meV per atom
**Energy relative to the elements, uncorrected**: -561 meV/atom



Question: Which value of ρ does entry 1 give?
Answer: 7.1 Mg/m³



Question: Which of these has the lowest DFT total energy?
Answer: Nb2IrI